[1]
## Fe4Ni5Pt (PBE)

Data for an optimized crystal structure of Fe4Ni5Pt.

Cell lengths 6.792, 6.792, 5.133 Å; angles 100.97, 100.97, 30.66 degrees
Atoms (fractional coordinates):
1 Fe 0.104 0.104 0.314
2 Fe 0.296 0.296 0.900
3 Fe 0.704 0.704 0.100
4 Fe 0.896 0.896 0.686
5 Ni 0.103 0.103 0.794
6 Ni 0.300 0.300 0.400
7 Ni 0.500 0.500 0.500
8 Ni 0.700 0.700 0.600
9 Ni 0.897 0.897 0.206
10 Pt 0.500 0.500 0.000

Summary:
V (Å³/cell): 118.4
DFT formation energy (eV per atom): -0.10
Total DFT energy (no corrections) (hartree per atom): -0.2566
Symmetry: No. 12
DOS(E_F) (states/eV/atom): 0.743



[2]
## AcZnAsO5 (PBE)

Data for an optimized crystal structure of AcZnAsO5.

Cell lengths 6.337, 6.337, 8.792 Å; angles 110.70, 110.70, 90.02 degrees
Atoms (fractional coordinates):
1 Ac 0.000 0.000 0.000
2 Ac 0.000 0.000 0.500
3 Zn 0.323 0.677 0.750
4 Zn 0.677 0.323 0.250
5 As 0.371 0.629 0.250
6 As 0.629 0.371 0.750
7 O 0.120 0.880 0.750
8 O 0.263 0.735 0.090
9 O 0.265 0.737 0.410
10 O 0.330 0.337 0.666
11 O 0.337 0.330 0.166
12 O 0.663 0.670 0.834
13 O 0.670 0.663 0.334
14 O 0.735 0.263 0.590
15 O 0.737 0.265 0.910
16 O 0.880 0.120 0.250

Summary:
V (Å³/cell): 305.7
Total DFT energy (no corrections) (hartree per atom): -0.2332
E_form (uncorrected) (eV/atom): -1.994
Symmetry: No. 15
DOS(E_F) (states/eV/atom): 0.000



[3]
## CaPr3Pu2Se6 (PBE)

Data for an optimized crystal structure of CaPr3Pu2Se6.

Cell lengths 7.291, 7.291, 7.336 Å; angles 99.55, 99.55, 120.02 degrees
Atoms (fractional coordinates):
1 Ca 0.000 0.000 0.000
2 Pr 0.166 0.834 0.500
3 Pr 0.500 0.500 0.500
4 Pr 0.834 0.166 0.500
5 Pu 0.333 0.667 0.000
6 Pu 0.667 0.333 0.000
7 Se 0.080 0.414 0.241
8 Se 0.253 0.253 0.760
9 Se 0.414 0.080 0.241
10 Se 0.586 0.920 0.759
11 Se 0.747 0.747 0.240
12 Se 0.920 0.586 0.759

Summary:
V (Å³/cell): 318.5
Total DFT energy (no corrections) (hartree per atom): -0.2666
E_form (uncorrected) (eV/atom): -1.761
Symmetry: No. 12
DOS(E_F) (states/eV/atom): 1.801



[4]
## Th6Si2SbAs3 (PBE)

Data for an optimized crystal structure of Th6Si2SbAs3.

Cell lengths 9.614, 9.614, 8.628 Å; angles 102.68, 102.68, 25.81 degrees
Atoms (fractional coordinates):
1 Th 0.004 0.004 0.266
2 Th 0.327 0.327 0.905
3 Th 0.331 0.331 0.420
4 Th 0.669 0.669 0.580
5 Th 0.673 0.673 0.095
6 Th 0.996 0.996 0.734
7 Si 0.167 0.167 0.334
8 Si 0.833 0.833 0.666
9 Sb 0.500 0.500 0.000
10 As 0.163 0.163 0.834
11 As 0.500 0.500 0.500
12 As 0.837 0.837 0.166

Summary:
V (Å³/cell): 338.3
Total DFT energy (no corrections) (hartree per atom): -0.2642
E_form (uncorrected) (eV/atom): -1.070
Symmetry: No. 12
DOS(E_F) (states/eV/atom): 0.446